No. 1
The following is a DFT calculation (GGA-PBE) of a relaxed AcTePt crystal.

Unit cell a=7.2498 b=7.2498 c=7.2498 alpha=90.00 beta=90.00 gamma=90.00
Space group F-43m (No. 216)
Inequivalent atoms, fractional coordinates:
1 Ac 0.0000 0.0000 0.0000
2 Te 0.2500 0.2500 0.2500
3 Pt 0.0000 0.0000 0.5000

Computed properties:
ΔE to the lowest computed polymorph = 1.67 kcal/mol of atoms
mass density = 9.6 Mg/m³

***

No. 2
The following is a DFT calculation (GGA-PBE) of a relaxed Zr2Co4P3 crystal.

Unit cell a=12.1168 b=12.1168 c=3.6747 alpha=90.00 beta=90.00 gamma=120.00
Space group P-62m (No. 189)
Inequivalent atoms, fractional coordinates:
1 Zr 0.0000 0.1762 0.0000
2 Zr 0.0000 0.5563 0.5000
3 Zr 0.3333 0.6667 0.5000
4 Co 0.0000 0.0000 0.5000
5 Co 0.0000 0.7212 0.0000
6 Co 0.1263 0.4805 0.0000
7 Co 0.1802 0.8065 0.5000
8 P 0.0000 0.3447 0.5000
9 P 0.0000 0.8239 0.5000
10 P 0.1733 0.6915 0.0000

Computed properties:
mass density = 7.3 Mg/m³

***

No. 3
The following is a DFT calculation (GGA-PBE) of a relaxed CsSmAsO crystal.

Unit cell a=6.0931 b=6.0931 c=5.5198 alpha=90.00 beta=90.00 gamma=90.00
Space group P4/nmm (No. 129, origin choice 2)
Inequivalent atoms, fractional coordinates:
1 Cs 0.2500 0.2500 0.9995
2 Sm 0.2500 0.7500 0.5000
3 As 0.2500 0.2500 0.4995
4 O 0.2500 0.7500 0.0000

Computed properties:
ΔE to the lowest computed polymorph = 14.86 kcal/mol of atoms
mass density = 6.1 Mg/m³

***

No. 4
The following is a DFT calculation (GGA-PBE) of a relaxed Ta2Cd crystal.

Unit cell a=12.2339 b=12.2339 c=12.2339 alpha=90.00 beta=90.00 gamma=90.00
Space group Fd-3m (No. 227, origin choice 2)
Inequivalent atoms, fractional coordinates:
1 Ta 0.0000 0.0000 0.0000
2 Cd 0.1250 0.1250 0.1250

Computed properties:
mass density = 3.4 Mg/m³

***

No. 5
The following is a DFT calculation (GGA-PBE) of a relaxed NdGa2Co3 crystal.

Unit cell a=9.0867 b=9.0867 c=3.8462 alpha=90.00 beta=90.00 gamma=120.00
Space group P6/mmm (No. 191)
Inequivalent atoms, fractional coordinates:
1 Nd 0.0000 0.0000 0.0000
2 Nd 0.3333 0.6667 0.5000
3 Ga 0.0000 0.3165 0.5000
4 Co 0.0000 0.5000 0.0000
5 Co 0.1820 0.3640 0.0000

Computed properties:
mass density = 8.3 Mg/m³

***

No. 6
The following is a DFT calculation (GGA-PBE) of a relaxed LuTlHg crystal.

Unit cell a=6.8615 b=6.8615 c=6.8615 alpha=90.00 beta=90.00 gamma=90.00
Space group F-43m (No. 216)
Inequivalent atoms, fractional coordinates:
1 Lu 0.0000 0.0000 0.0000
2 Tl 0.0000 0.0000 0.5000
3 Hg 0.2500 0.2500 0.2500

Computed properties:
ΔE to the lowest computed polymorph = 0.00 kcal/mol of atoms
mass density = 11.9 Mg/m³

***

No. 7
The following is a DFT calculation (GGA-PBE) of a relaxed ScTaGe2 crystal.

Unit cell a=6.6362 b=6.6362 c=6.6362 alpha=90.00 beta=90.00 gamma=90.00
Space group F-43m (No. 216)
Inequivalent atoms, fractional coordinates:
1 Sc 0.0000 0.0000 0.0000
2 Ta 0.2500 0.2500 0.2500
3 Ge 0.0000 0.0000 0.5000
4 Ge 0.2500 0.2500 0.7500

Computed properties:
mass density = 8.4 Mg/m³

***

No. 8
The following is a DFT calculation (GGA-PBE) of a relaxed NaZrCoSi crystal.

Unit cell a=6.2085 b=6.2085 c=6.2085 alpha=90.00 beta=90.00 gamma=90.00
Space group F-43m (No. 216)
Inequivalent atoms, fractional coordinates:
1 Na 0.0000 0.0000 0.0000
2 Zr 0.2500 0.2500 0.7500
3 Co 0.0000 0.0000 0.5000
4 Si 0.2500 0.2500 0.2500

Computed properties:
ΔE to the lowest computed polymorph = 0.00 kcal/mol of atoms
mass density = 5.6 Mg/m³

***

No. 9
The following is a DFT calculation (GGA-PBE) of a relaxed SmSnPb crystal.

Unit cell a=7.4052 b=7.4052 c=7.4052 alpha=90.00 beta=90.00 gamma=90.00
Space group F-43m (No. 216)
Inequivalent atoms, fractional coordinates:
1 Sm 0.0000 0.0000 0.0000
2 Sn 0.2500 0.2500 0.2500
3 Pb 0.2500 0.2500 0.7500

Computed properties:
ΔE to the lowest computed polymorph = 0.00 kcal/mol of atoms
mass density = 7.8 Mg/m³

***

No. 10
The following is a DFT calculation (GGA-PBE) of a relaxed PmTmIn2 crystal.

Unit cell a=3.7751 b=3.7751 c=7.5487 alpha=90.00 beta=90.00 gamma=90.00
Space group P4/mmm (No. 123)
Inequivalent atoms, fractional coordinates:
1 Pm 0.0000 0.0000 0.0000
2 Tm 0.0000 0.0000 0.5000
3 In 0.5000 0.5000 0.2640

Computed properties:
mass density = 8.4 Mg/m³

***

No. 11
The following is a DFT calculation (GGA-PBE) of a relaxed NaInNi crystal.

Unit cell a=6.3797 b=6.3797 c=6.3797 alpha=90.00 beta=90.00 gamma=90.00
Space group F-43m (No. 216)
Inequivalent atoms, fractional coordinates:
1 Na 0.0000 0.0000 0.0000
2 In 0.2500 0.2500 0.7500
3 Ni 0.2500 0.2500 0.2500

Computed properties:
mass density = 5.0 Mg/m³

***

No. 12
The following is a DFT calculation (GGA-PBE) of a relaxed HfBeZn crystal.

Unit cell a=6.0570 b=6.0570 c=6.0570 alpha=90.00 beta=90.00 gamma=90.00
Space group F-43m (No. 216)
Inequivalent atoms, fractional coordinates:
1 Hf 0.0000 0.0000 0.0000
2 Be 0.2500 0.2500 0.7500
3 Zn 0.2500 0.2500 0.2500

Computed properties:
mass density = 7.6 Mg/m³

***

No. 13
The following is a DFT calculation (GGA-PBE) of a relaxed KNdBiS3 crystal.

Unit cell a=4.4276 b=15.9666 c=11.5734 alpha=90.00 beta=90.00 gamma=90.00
Space group Cmcm (No. 63)
Inequivalent atoms, fractional coordinates:
1 K 0.0000 0.1724 0.2500
2 Nd 0.0000 0.5000 0.0000
3 Bi 0.0000 0.1059 0.7500
4 S 0.0000 0.1143 0.5060
5 S 0.0000 0.4919 0.2500

Computed properties:
mass density = 4.0 Mg/m³

***

No. 14
The following is a DFT calculation (GGA-PBE) of a relaxed Ac3PrIr2 crystal.

Unit cell a=17.6897 b=4.4698 c=12.2599 alpha=90.00 beta=119.82 gamma=90.00
Space group C2/m (No. 12)
Inequivalent atoms, fractional coordinates:
1 Ac 0.0526 0.0000 0.2328
2 Ac 0.1682 0.5000 0.0236
3 Ac 0.2160 0.0000 0.5981
4 Pr 0.0750 0.5000 0.6652
5 Ir 0.1172 0.5000 0.4271
6 Ir 0.1352 0.0000 0.8405

Computed properties:
mass density = 9.5 Mg/m³

***

No. 15
The following is a DFT calculation (GGA-PBE) of a relaxed AgTeO3 crystal.

Unit cell a=5.9781 b=5.9781 c=13.8834 alpha=90.00 beta=90.00 gamma=120.00
Space group R-3c (No. 167, hexagonal axes)
Inequivalent atoms, fractional coordinates:
1 Ag 0.0000 0.0000 0.0000
2 Te 0.0000 0.0000 0.2500
3 O 0.0000 0.3228 0.2500

Computed properties:
mass density = 6.6 Mg/m³

***

No. 16
The following is a DFT calculation (GGA-PBE) of a relaxed Hf3Fe4Sb4 crystal.

Unit cell a=6.1015 b=6.1015 c=12.1684 alpha=90.00 beta=90.00 gamma=90.00
Space group I-42m (No. 121)
Inequivalent atoms, fractional coordinates:
1 Hf 0.0000 0.0000 0.0000
2 Hf 0.0000 0.5000 0.2500
3 Fe 0.2406 0.2406 0.6205
4 Sb 0.0000 0.0000 0.2485
5 Sb 0.0000 0.5000 0.0000

Computed properties:
mass density = 9.1 Mg/m³

***

No. 17
The following is a DFT calculation (GGA-PBE) of a relaxed ErTmW crystal.

Unit cell a=6.8722 b=6.8722 c=6.8722 alpha=90.00 beta=90.00 gamma=90.00
Space group F-43m (No. 216)
Inequivalent atoms, fractional coordinates:
1 Er 0.0000 0.0000 0.0000
2 Tm 0.2500 0.2500 0.2500
3 W 0.0000 0.0000 0.5000

Computed properties:
ΔE to the lowest computed polymorph = 0.00 kcal/mol of atoms
mass density = 10.6 Mg/m³

***

No. 18
The following is a DFT calculation (GGA-PBE) of a relaxed PuNpAu crystal.

Unit cell a=6.5029 b=6.5029 c=6.5029 alpha=90.00 beta=90.00 gamma=90.00
Space group F-43m (No. 216)
Inequivalent atoms, fractional coordinates:
1 Pu 0.0000 0.0000 0.0000
2 Np 0.2500 0.2500 0.2500
3 Au 0.2500 0.2500 0.7500

Computed properties:
mass density = 16.4 Mg/m³

***

No. 19
The following is a DFT calculation (GGA-PBE) of a relaxed NbIn2Cu crystal.

Unit cell a=6.7354 b=6.7354 c=6.7354 alpha=90.00 beta=90.00 gamma=90.00
Space group F-43m (No. 216)
Inequivalent atoms, fractional coordinates:
1 Nb 0.0000 0.0000 0.0000
2 In 0.0000 0.0000 0.5000
3 In 0.2500 0.2500 0.7500
4 Cu 0.2500 0.2500 0.2500

Computed properties:
mass density = 8.4 Mg/m³

***

No. 20
The following is a DFT calculation (GGA-PBE) of a relaxed Ho2TmCo2B2C3 crystal.

Unit cell a=3.5158 b=3.5158 c=20.3974 alpha=90.00 beta=90.00 gamma=90.00
Space group I4/mmm (No. 139)
Inequivalent atoms, fractional coordinates:
1 Ho 0.0000 0.0000 0.1230
2 Tm 0.0000 0.0000 0.5000
3 Co 0.0000 0.5000 0.2500
4 B 0.0000 0.0000 0.3066
5 C 0.0000 0.0000 0.0000
6 C 0.0000 0.0000 0.3804

Computed properties:
mass density = 8.9 Mg/m³

***

No. 21
The following is a DFT calculation (GGA-PBE) of a relaxed ZrTaNiSb crystal.

Unit cell a=6.6478 b=6.6478 c=6.6478 alpha=90.00 beta=90.00 gamma=90.00
Space group F-43m (No. 216)
Inequivalent atoms, fractional coordinates:
1 Zr 0.0000 0.0000 0.0000
2 Ta 0.2500 0.2500 0.2500
3 Ni 0.2500 0.2500 0.7500
4 Sb 0.0000 0.0000 0.5000

Computed properties:
mass density = 10.2 Mg/m³

***

No. 22
The following is a DFT calculation (GGA-PBE) of a relaxed Zr4Sc2Ga3C3 crystal.

Unit cell a=9.9863 b=5.7632 c=14.7808 alpha=90.00 beta=103.09 gamma=90.00
Space group C2/c (No. 15)
Inequivalent atoms, fractional coordinates:
1 Zr 0.1120 0.0862 0.0862
2 Zr 0.2226 0.0823 0.4137
3 Sc 0.0512 0.4180 0.9074
4 Ga 0.0000 0.0075 0.7500
5 Ga 0.2011 0.3824 0.2506
6 C 0.0837 0.2490 0.5002
7 C 0.2500 0.2500 0.0000

Computed properties:
mass density = 5.6 Mg/m³

***

No. 23
The following is a DFT calculation (GGA-PBE) of a relaxed TeIrNO crystal.

Unit cell a=4.4543 b=4.4543 c=5.2705 alpha=90.00 beta=90.00 gamma=90.00
Space group P4/nmm (No. 129, origin choice 2)
Inequivalent atoms, fractional coordinates:
1 Te 0.2500 0.7500 0.0000
2 Ir 0.2500 0.2500 0.4323
3 N 0.2500 0.2500 0.7990
4 O 0.2500 0.7500 0.5000

Computed properties:
ΔE to the lowest computed polymorph = 15.51 kcal/mol of atoms
mass density = 11.1 Mg/m³

***

No. 24
The following is a DFT calculation (GGA-PBE) of a relaxed TbHo2Sn4Au4 crystal.

Unit cell a=4.5449 b=7.2699 c=15.4825 alpha=90.00 beta=90.00 gamma=90.00
Space group Immm (No. 71)
Inequivalent atoms, fractional coordinates:
1 Tb 0.0000 0.0000 0.0000
2 Ho 0.0000 0.5000 0.1287
3 Sn 0.0000 0.0000 0.2144
4 Sn 0.0000 0.1967 0.5000
5 Au 0.0000 0.2953 0.3313

Computed properties:
mass density = 11.4 Mg/m³

***

no.,VASP energy (eV for the cell shown)
1,-59.74
2,-283.71
3,-37.11
4,-92.56
5,-102.38
6,-31.04
7,-105.35
8,-90.44
9,-51.42
10,-16.55
11,-30.07
12,-51.51
13,-115.16
14,-152.58
15,-133.40
16,-162.67
17,-71.19
18,-117.31
19,-69.91
20,-144.73
21,-117.43
22,-366.68
23,-43.48
24,-99.61